Entry 1:
Entry from the Alexandria database: a relaxed CaTaNO2 crystal (GGA-PBE).

Computed properties:
* formation energy from raw total energies: -2.41 eV/atom
* V: 251.7 Å³ per cell

Cell: 5.604 5.721 7.853 Å, 90.00 90.00 90.00°
Fractional coordinates of all 20 atoms:
Ca 0.242 0.450 0.500
Ca 0.758 0.950 0.500
Ca 0.734 0.033 0.000
Ca 0.266 0.533 0.000
Ta 0.765 0.486 0.254
Ta 0.235 0.986 0.254
Ta 0.235 0.986 0.746
Ta 0.765 0.486 0.746
N 0.966 0.218 0.704
N 0.034 0.718 0.296
N 0.966 0.218 0.296
N 0.034 0.718 0.704
O 0.832 0.485 0.000
O 0.537 0.798 0.202
O 0.347 0.029 0.500
O 0.168 0.985 0.000
O 0.653 0.529 0.500
O 0.537 0.798 0.798
O 0.463 0.298 0.202
O 0.463 0.298 0.798



Entry 2:
Entry from the Alexandria database: a relaxed Ac3Zn2Hg7 crystal (GGA-PBE).

Computed properties:
* E_form: -0.33 eV/atom
* V: 330.7 Å³ per cell

Cell: 4.761 4.964 14.217 Å, 100.15 90.00 90.00°
Fractional coordinates of all 12 atoms:
Ac 0.500 0.500 0.000
Ac 0.000 0.174 0.352
Ac 0.000 0.826 0.648
Zn 0.500 0.635 0.263
Zn 0.500 0.365 0.737
Hg 0.500 0.724 0.449
Hg 0.500 0.276 0.551
Hg 0.000 0.583 0.170
Hg 0.000 0.000 0.000
Hg 0.000 0.417 0.830
Hg 0.500 0.914 0.832
Hg 0.500 0.086 0.168



Entry 3:
Entry from the Alexandria database: a relaxed Tl8S6I crystal (GGA-PBE).

Computed properties:
* formation energy from raw total energies: -0.15 eV/atom
* V: 465.0 Å³ per cell

Cell: 7.869 7.869 7.869 Å, 79.38 79.38 79.38°
Fractional coordinates of all 15 atoms:
Tl 0.706 0.706 0.706
Tl 0.294 0.294 0.294
Tl 0.614 0.871 0.244
Tl 0.871 0.244 0.614
Tl 0.244 0.614 0.871
Tl 0.386 0.129 0.756
Tl 0.129 0.756 0.386
Tl 0.756 0.386 0.129
S 0.586 0.337 0.869
S 0.337 0.869 0.586
S 0.869 0.586 0.337
S 0.414 0.663 0.131
S 0.663 0.131 0.414
S 0.131 0.414 0.663
I 0.000 0.000 0.000



Entry 4:
Entry from the Alexandria database: a relaxed La2Ga4HgPd3 crystal (GGA-PBE).

Computed properties:
* E_form: -0.72 eV/atom
* V: 207.1 Å³ per cell

Cell: 4.411 4.411 10.646 Å, 90.00 90.00 90.00°
Fractional coordinates of all 10 atoms:
La 0.500 0.000 0.239
La 0.000 0.500 0.761
Ga 0.500 0.500 0.000
Ga 0.000 0.000 0.000
Ga 0.500 0.000 0.642
Ga 0.000 0.500 0.358
Hg 0.500 0.500 0.500
Pd 0.000 0.000 0.500
Pd 0.500 0.000 0.875
Pd 0.000 0.500 0.125